(1)
A plane-wave DFT calculation with PBE was carried out for a relaxed structure of Gd2Pa.

Results
The calculation puts the energy of formation at 2.4855 eV/atom. The symmetry is Fd-3m, No. 227. Its volume is 86.170 A^3/atom.

Cell: 9.0090 9.0090 9.0090 Å, 60.00 60.00 60.00°
Each line ends with the local moment (μB).
Fractional coordinates of all 6 atoms:
Gd: 0.3750 0.3750 0.8750  0.03
Gd: 0.3750 0.8750 0.3750  0.03
Gd: 0.3750 0.3750 0.3750  0.03
Gd: 0.8750 0.3750 0.3750  0.01
Pa: 0.2500 0.2500 0.2500  0.10
Pa: 0.5000 0.5000 0.5000  0.10



(2)
A plane-wave DFT calculation with PBE was carried out for a relaxed structure of GdPa2.

Results
The calculation puts the energy of formation at 2.9713 eV/atom. The symmetry is Fd-3m, No. 227. Its volume is 69.872 A^3/atom.

Cell: 8.4009 8.4009 8.4009 Å, 60.00 60.00 60.00°
Each line ends with the local moment (μB).
Fractional coordinates of all 6 atoms:
Pa: 0.3750 0.8750 0.3750  0.22
Pa: 0.3750 0.3750 0.8750  0.18
Pa: 0.3750 0.3750 0.3750  0.21
Pa: 0.8750 0.3750 0.3750  0.40
Gd: 0.5000 0.5000 0.5000  -0.03
Gd: 0.2500 0.2500 0.2500  -0.03



(3)
A plane-wave DFT calculation with PBE was carried out for a relaxed structure of GdPaPb.

Results
The symmetry is F-43m, No. 216. Its volume is 33.506 A^3/atom. The calculation puts the energy relative to the lowest polymorph listed for this composition at 0 meV/atom.

Cell: 5.2190 5.2190 5.2190 Å, 60.00 60.00 60.00°
Each line ends with the local moment (μB).
Fractional coordinates of all 3 atoms:
Gd: 0.5000 0.5000 0.5000  0.40
Pa: 0.0000 0.0000 0.0000  1.34
Pb: 0.2500 0.2500 0.2500  -0.04



(4)
A plane-wave DFT calculation with PBE was carried out for a relaxed structure of GdPaPd.

Results
The calculation puts the energy of formation at 0.0389 eV/atom. The symmetry is F-43m, No. 216. Its volume is 27.112 A^3/atom. The calculation puts the energy relative to the lowest polymorph listed for this composition at 0 meV/atom.

Cell: 4.8633 4.8633 4.8633 Å, 60.00 60.00 60.00°
Each line ends with the local moment (μB).
Fractional coordinates of all 3 atoms:
Pd: 0.7500 0.7500 0.7500  0.01
Gd: 0.0000 0.0000 0.0000  0.14
Pa: 0.5000 0.5000 0.5000  0.76



(5)
A plane-wave DFT calculation with PBE was carried out for a relaxed structure of PmGdPa.

Results
The calculation puts the energy of formation at 1.0897 eV/atom. The symmetry is F-43m, No. 216. Its volume is 33.544 A^3/atom. The calculation puts the energy relative to the lowest polymorph listed for this composition at 0 meV/atom.

Cell: 5.2210 5.2210 5.2210 Å, 60.00 60.00 60.00°
Fractional coordinates of all 3 atoms:
Pm: 0.0000 0.0000 0.0000
Pa: 0.7500 0.7500 0.7500
Gd: 0.2500 0.2500 0.2500



(6)
A plane-wave DFT calculation with PBE was carried out for a relaxed structure of PmGd2Pa2.

Results
The calculation puts the energy of formation at 0.4495 eV/atom. The symmetry is P4/mmm, No. 123. Its volume is 30.476 A^3/atom.

Cell: 4.2717 4.2717 8.3508 Å, 90.00 90.00 90.00°
Each line ends with the local moment (μB).
Fractional coordinates of all 5 atoms:
Pa: 0.5000 0.0000 0.5000  0.11
Pa: 0.0000 0.5000 0.5000  0.10
Pm: 0.0000 0.0000 0.0000  -0.01
Gd: 0.5000 0.5000 0.8002  0.00
Gd: 0.5000 0.5000 0.1998  0.00



(7)
A plane-wave DFT calculation with PBE was carried out for a relaxed structure of PrGdPa.

Results
The calculation puts the energy of formation at 1.0754 eV/atom. The symmetry is F-43m, No. 216. Its volume is 33.502 A^3/atom. The calculation puts the energy relative to the lowest polymorph listed for this composition at 0 meV/atom.

Cell: 5.2188 5.2188 5.2188 Å, 60.00 60.00 60.00°
Fractional coordinates of all 3 atoms:
Pr: 0.0000 0.0000 0.0000
Gd: 0.2500 0.2500 0.2500
Pa: 0.7500 0.7500 0.7500



(8)
A plane-wave DFT calculation with PBE was carried out for a relaxed structure of Gd2PaS2.

Results
The symmetry is C2/m, No. 12. Its volume is 24.167 A^3/atom. As for the energy: -34.12 eV per cell.

Cell: 3.7913 3.7913 9.6768 Å, 90.69 90.69 60.32°
Fractional coordinates of all 5 atoms:
Pa: 0.5000 0.5000 0.0000
Gd: 0.1763 0.1763 0.3427
Gd: 0.8237 0.8237 0.6573
S: 0.8385 0.8385 0.1750
S: 0.1615 0.1615 0.8250



(9)
A plane-wave DFT calculation with PBE was carried out for a relaxed structure of GdPaSb.

Results
The symmetry is F-43m, No. 216. Its volume is 29.881 A^3/atom. The calculation puts the energy relative to the lowest polymorph listed for this composition at 0 meV/atom.

Cell: 5.0235 5.0235 5.0235 Å, 60.00 60.00 60.00°
Each line ends with the local moment (μB).
Fractional coordinates of all 3 atoms:
Pa: 0.2500 0.2500 0.2500  0.39
Sb: 0.7500 0.7500 0.7500  -0.01
Gd: 0.0000 0.0000 0.0000  0.19



(10)
A plane-wave DFT calculation with PBE was carried out for a relaxed structure of GdPaSe.

Results
The symmetry is Amm2, No. 38. Its volume is 25.786 A^3/atom. As for the energy: -57.04 eV per cell.

Cell: 3.5259 9.4909 9.4909 Å, 133.05 90.00 90.00°
Each line ends with the local moment (μB).
Fractional coordinates of all 9 atoms:
Pa: 0.0000 0.5620 0.5620  0.07
Pa: 0.0000 0.9313 0.6549  0.17
Pa: 0.0000 0.6549 0.9313  0.18
Gd: 0.0000 0.1527 0.1527  0.00
Gd: 0.0000 0.1756 0.5034  0.00
Gd: 0.0000 0.5034 0.1756  0.00
Se: 0.5000 0.8336 0.3232  0.00
Se: 0.5000 0.3232 0.8336  0.00
Se: 0.5000 0.8631 0.8631  0.00



(11)
A plane-wave DFT calculation with PBE was carried out for a relaxed structure of SmGdPa.

Results
The calculation puts the energy of formation at 1.0913 eV/atom. The symmetry is F-43m, No. 216. Its volume is 34.165 A^3/atom. The calculation puts the energy relative to the lowest polymorph listed for this composition at 0 meV/atom.

Cell: 5.2530 5.2530 5.2530 Å, 60.00 60.00 60.00°
Fractional coordinates of all 3 atoms:
Gd: 0.2500 0.2500 0.2500
Sm: 0.0000 0.0000 0.0000
Pa: 0.7500 0.7500 0.7500



(12)
A plane-wave DFT calculation with PBE was carried out for a relaxed structure of GdPaTa.

Results
The calculation puts the energy of formation at 1.2816 eV/atom. The symmetry is F-43m, No. 216. Its volume is 27.858 A^3/atom.

Cell: 4.9075 4.9075 4.9075 Å, 60.00 60.00 60.00°
Fractional coordinates of all 3 atoms:
Ta: 0.7500 0.7500 0.7500
Gd: 0.2500 0.2500 0.2500
Pa: 0.0000 0.0000 0.0000



(13)
A plane-wave DFT calculation with PBE was carried out for a relaxed structure of GdPaTe.

Results
The symmetry is F-43m, No. 216. Its volume is 31.349 A^3/atom. The calculation puts the energy relative to the lowest polymorph listed for this composition at 0 meV/atom.

Cell: 5.1045 5.1045 5.1045 Å, 60.00 60.00 60.00°
Each line ends with the local moment (μB).
Fractional coordinates of all 3 atoms:
Gd: 0.7500 0.7500 0.7500  0.37
Pa: 0.2500 0.2500 0.2500  1.43
Te: 0.5000 0.5000 0.5000  0.01



(14)
A plane-wave DFT calculation with PBE was carried out for a relaxed structure of GdThPa.

Results
The calculation puts the energy of formation at 1.0029 eV/atom. The symmetry is F-43m, No. 216. Its volume is 34.128 A^3/atom.

Cell: 5.2511 5.2511 5.2511 Å, 60.00 60.00 60.00°
Fractional coordinates of all 3 atoms:
Gd: 0.2500 0.2500 0.2500
Pa: 0.0000 0.0000 0.0000
Th: 0.7500 0.7500 0.7500



(15)
A plane-wave DFT calculation with PBE was carried out for a relaxed structure of GdPaTl.

Results
The symmetry is F-43m, No. 216. Its volume is 32.566 A^3/atom. The calculation puts the energy relative to the lowest polymorph listed for this composition at 0 meV/atom.

Cell: 5.1697 5.1697 5.1697 Å, 60.00 60.00 60.00°
Fractional coordinates of all 3 atoms:
Gd: 0.2500 0.2500 0.2500
Pa: 0.7500 0.7500 0.7500
Tl: 0.0000 0.0000 0.0000



(16)
A plane-wave DFT calculation with PBE was carried out for a relaxed structure of GdYPa.

Results
The calculation puts the energy of formation at 1.1317 eV/atom. The symmetry is F-43m, No. 216. Its volume is 34.772 A^3/atom. The calculation puts the energy relative to the lowest polymorph listed for this composition at 0 meV/atom.

Cell: 5.2839 5.2839 5.2839 Å, 60.00 60.00 60.00°
Fractional coordinates of all 3 atoms:
Pa: 0.7500 0.7500 0.7500
Gd: 0.2500 0.2500 0.2500
Y: 0.0000 0.0000 0.0000



(17)
A plane-wave DFT calculation with PBE was carried out for a relaxed structure of GdPb.

Results
The symmetry is F-43m, No. 216. Its volume is 43.477 A^3/atom. As for the energy: -7.61 eV per cell.

Cell: 4.9728 4.9728 4.9728 Å, 60.00 60.00 60.00°
Fractional coordinates of all 2 atoms:
Pb: 0.2500 0.2500 0.2500
Gd: 0.0000 0.0000 0.0000



(18)
A plane-wave DFT calculation with PBE was carried out for a relaxed structure of GdPb.

Results
The symmetry is Fm-3m, No. 225. Its volume is 31.958 A^3/atom. As for the energy: -9.10 eV per cell.

Cell: 4.4879 4.4879 4.4879 Å, 60.00 60.00 60.00°
Fractional coordinates of all 2 atoms:
Pb: 0.5000 0.5000 0.5000
Gd: 0.0000 0.0000 0.0000



(19)
A plane-wave DFT calculation with PBE was carried out for a relaxed structure of GdPb2.

Results
The symmetry is Fd-3m, No. 227. Its volume is 30.562 A^3/atom. As for the energy: -24.62 eV per cell.

Cell: 6.3770 6.3770 6.3770 Å, 60.00 60.00 60.00°
Fractional coordinates of all 6 atoms:
Pb: 0.6250 0.6250 0.1250
Pb: 0.1250 0.6250 0.6250
Pb: 0.6250 0.1250 0.6250
Pb: 0.6250 0.6250 0.6250
Gd: 0.2500 0.2500 0.2500
Gd: 0.0000 0.0000 0.0000



(20)
A plane-wave DFT calculation with PBE was carried out for a relaxed structure of GdPb2.

Results
The symmetry is Fd-3m, No. 227. Its volume is 112.832 A^3/atom. As for the energy: -16.95 eV per cell.

Cell: 9.8560 9.8560 9.8560 Å, 60.00 60.00 60.00°
Each line ends with the local moment (μB).
Fractional coordinates of all 6 atoms:
Pb: 0.3750 0.3750 0.3750  0.24
Pb: 0.3750 0.8750 0.3750  0.21
Pb: 0.8750 0.3750 0.3750  0.31
Pb: 0.3750 0.3750 0.8750  0.23
Gd: 0.2500 0.2500 0.2500  0.46
Gd: 0.5000 0.5000 0.5000  0.46